i.
Te3OsS | PBE | optimized geometry

Cell: 5.2003 5.2003 5.2003 Å, 90.00 90.00 90.00°
Atoms (fractional coordinates):
Te (0.0000, 0.0000, 0.5000)
Te (0.0000, 0.5000, 0.0000)
Te (0.5000, 0.0000, 0.0000)
Os (0.0000, 0.0000, 0.0000)
S (0.5000, 0.5000, 0.5000)

Results
The crystal system is cubic. The calculated density comes out at 7.14 g/cm³. The value obtained for the density of states at the Fermi level is 8.337 states/eV/cell. The total moment comes out at 0.00 μB per cell.

=====

ii.
Te3OsS | PBE | optimized geometry

Cell: 5.0350 5.0350 5.0350 Å, 90.00 90.00 90.00°
Atoms (fractional coordinates):
Te (0.0000, 0.0000, 0.5000)
Te (0.0000, 0.5000, 0.0000)
Te (0.5000, 0.0000, 0.0000)
Os (0.5000, 0.5000, 0.5000)
S (0.0000, 0.0000, 0.0000)

Results
The crystal system is cubic. The calculated density comes out at 7.87 g/cm³. The value obtained for the density of states at the Fermi level is 5.719 states/eV/cell. The total moment comes out at 0.00 μB per cell.

=====

How do the energies compare? Relative to the most stable structure, in meV/atom: i 0; ii 660.

=====

i.
Th2OsS | PBE | optimized geometry

Cell: 7.5150 7.5150 7.5150 Å, 31.54 31.54 31.54°
Atoms (fractional coordinates):
Th (0.2411, 0.2411, 0.2411)
Th (0.7589, 0.7589, 0.7589)
Os (0.5000, 0.5000, 0.5000)
S (0.0000, 0.0000, 0.0000)

Results
The crystal system is trigonal. The calculated density comes out at 11.06 g/cm³. The value obtained for the density of states at the Fermi level is 1.909 states/eV/cell. The total moment comes out at 0.00 μB per cell.

=====

ii.
Th2OsS | PBE | optimized geometry

Cell: 7.7100 7.7100 7.7100 Å, 30.47 30.47 30.47°
Atoms (fractional coordinates):
Th (0.0000, 0.0000, 0.0000)
Th (0.1873, 0.1873, 0.1873)
Os (0.5945, 0.5945, 0.5945)
S (0.4239, 0.4239, 0.4239)

Results
The crystal system is trigonal. The calculated density comes out at 10.91 g/cm³. The value obtained for the density of states at the Fermi level is 1.864 states/eV/cell. The total moment comes out at 0.00 μB per cell.

=====

How do the energies compare? Relative to the most stable structure, in meV/atom: i 0; ii 91.

=====

i.
Ti2OsS2 | PBE | optimized geometry

Cell: 7.1295 7.1295 7.1295 Å, 152.72 152.72 38.96°
Atoms (fractional coordinates):
Ti (0.1126, 0.1126, 0.0000)
Ti (0.8874, 0.8874, 0.0000)
Os (0.5000, 0.5000, 0.0000)
S (0.2500, 0.7500, 0.5000)
S (0.7500, 0.2500, 0.5000)

Results
The crystal system is tetragonal. The calculated density comes out at 7.65 g/cm³. The value obtained for the density of states at the Fermi level is 2.972 states/eV/cell. The total moment comes out at 0.00 μB per cell.

=====

ii.
Ti2OsS2 | PBE | optimized geometry

Cell: 4.9546 4.9546 4.9546 Å, 123.07 123.07 84.76°
Atoms (fractional coordinates):
Ti (0.2500, 0.7500, 0.5000)
Ti (0.7500, 0.2500, 0.5000)
Os (0.0000, 0.0000, 0.0000)
S (0.3156, 0.3156, 0.0000)
S (0.6844, 0.6844, 0.0000)

Results
The crystal system is tetragonal. The calculated density comes out at 7.12 g/cm³. The value obtained for the density of states at the Fermi level is 7.025 states/eV/cell. The total moment comes out at 0.00 μB per cell.

=====

How do the energies compare? Relative to the most stable structure, in meV/atom: i 267; ii 0.

=====

i.
Ti2OsS2 | PBE | optimized geometry

Cell: 6.9180 6.9180 3.0969 Å, 90.00 90.00 90.00°
Atoms (fractional coordinates):
Ti (0.1536, 0.3464, 0.0000)
Ti (0.3464, 0.8464, 0.0000)
Ti (0.6536, 0.1536, 0.0000)
Ti (0.8464, 0.6536, 0.0000)
Os (0.0000, 0.0000, 0.0000)
Os (0.5000, 0.5000, 0.0000)
S (0.1438, 0.6438, 0.5000)
S (0.3562, 0.1438, 0.5000)
S (0.6438, 0.8562, 0.5000)
S (0.8562, 0.3562, 0.5000)

Results
The crystal system is tetragonal. The calculated density comes out at 7.84 g/cm³. The value obtained for the density of states at the Fermi level is 9.380 states/eV/cell. The total moment comes out at 0.00 μB per cell.

=====

ii.
Ti2OsS2 | PBE | optimized geometry

Cell: 6.6618 6.6618 3.1435 Å, 90.00 90.00 90.00°
Atoms (fractional coordinates):
Ti (0.1530, 0.3470, 0.0000)
Ti (0.3470, 0.8470, 0.0000)
Ti (0.6530, 0.1530, 0.0000)
Ti (0.8470, 0.6530, 0.0000)
Os (0.0000, 0.0000, 0.5000)
Os (0.5000, 0.5000, 0.5000)
S (0.1535, 0.6535, 0.5000)
S (0.3465, 0.1535, 0.5000)
S (0.6535, 0.8465, 0.5000)
S (0.8465, 0.3465, 0.5000)

Results
The crystal system is tetragonal. The calculated density comes out at 8.33 g/cm³. The value obtained for the density of states at the Fermi level is 8.410 states/eV/cell. The total moment comes out at 0.00 μB per cell.

=====

How do the energies compare? Relative to the most stable structure, in meV/atom: i 311; ii 0.

=====

i.
TiOsS3 | PBE | optimized geometry

Cell: 4.5849 4.5849 4.5849 Å, 90.00 90.00 90.00°
Atoms (fractional coordinates):
Ti (0.0000, 0.0000, 0.0000)
Os (0.5000, 0.5000, 0.5000)
S (0.0000, 0.5000, 0.5000)
S (0.5000, 0.0000, 0.5000)
S (0.5000, 0.5000, 0.0000)

Results
The crystal system is cubic. The calculated density comes out at 5.76 g/cm³. The value obtained for the density of states at the Fermi level is 7.382 states/eV/cell. The total moment comes out at 0.04 μB per cell.

=====

ii.
TiOsS3 | PBE | optimized geometry

Cell: 4.6521 4.6521 4.6521 Å, 90.00 90.00 90.00°
Atoms (fractional coordinates):
Ti (0.0000, 0.0000, 0.0000)
Os (0.5000, 0.5000, 0.5000)
S (0.0000, 0.0000, 0.5000)
S (0.0000, 0.5000, 0.0000)
S (0.5000, 0.0000, 0.0000)

Results
The crystal system is cubic. The calculated density comes out at 5.51 g/cm³. The value obtained for the density of states at the Fermi level is 6.865 states/eV/cell. The total moment comes out at 4.10 μB per cell.

=====

How do the energies compare? Relative to the most stable structure, in meV/atom: i 0; ii 207.

=====

i.
TiOs3S | PBE | optimized geometry

Cell: 4.3336 4.3336 4.3336 Å, 90.00 90.00 90.00°
Atoms (fractional coordinates):
Ti (0.0000, 0.0000, 0.0000)
Os (0.0000, 0.5000, 0.5000)
Os (0.5000, 0.0000, 0.5000)
Os (0.5000, 0.5000, 0.0000)
S (0.5000, 0.5000, 0.5000)

Results
The crystal system is cubic. The calculated density comes out at 13.27 g/cm³. The value obtained for the density of states at the Fermi level is 7.056 states/eV/cell. The total moment comes out at 0.00 μB per cell.

=====

ii.
TiOs3S | PBE | optimized geometry

Cell: 4.5801 4.5801 4.5801 Å, 90.00 90.00 90.00°
Atoms (fractional coordinates):
Ti (0.0000, 0.0000, 0.0000)
Os (0.0000, 0.0000, 0.5000)
Os (0.0000, 0.5000, 0.0000)
Os (0.5000, 0.0000, 0.0000)
S (0.5000, 0.5000, 0.5000)

Results
The crystal system is cubic. The calculated density comes out at 11.25 g/cm³. The value obtained for the density of states at the Fermi level is 7.332 states/eV/cell. The total moment comes out at 1.63 μB per cell.

=====

How do the energies compare? Relative to the most stable structure, in meV/atom: i 0; ii 1496.

=====

i.
TlOs2S | PBE | optimized geometry

Cell: 4.5092 4.5092 4.5092 Å, 60.00 60.00 60.00°
Atoms (fractional coordinates):
Tl (0.0000, 0.0000, 0.0000)
Os (0.2500, 0.2500, 0.2500)
Os (0.7500, 0.7500, 0.7500)
S (0.5000, 0.5000, 0.5000)

Results
The crystal system is cubic. The calculated density comes out at 15.80 g/cm³. The value obtained for the density of states at the Fermi level is 2.634 states/eV/cell. The total moment comes out at 0.00 μB per cell.

=====

ii.
TlOs2S | PBE | optimized geometry

Cell: 5.7243 5.7243 5.7243 Å, 105.04 105.04 118.74°
Atoms (fractional coordinates):
Tl (0.0000, 0.0000, 0.0000)
Tl (0.7500, 0.2500, 0.5000)
Os (0.2111, 0.6250, 0.0861)
Os (0.3750, 0.4611, 0.5861)
Os (0.5389, 0.1250, 0.9139)
Os (0.8750, 0.7889, 0.4139)
S (0.2500, 0.7500, 0.5000)
S (0.5000, 0.5000, 0.0000)

Results
The crystal system is tetragonal. The calculated density comes out at 14.48 g/cm³. The value obtained for the density of states at the Fermi level is 8.378 states/eV/cell. The total moment comes out at 0.00 μB per cell.

=====

How do the energies compare? Relative to the most stable structure, in meV/atom: i 447; ii 0.

=====

i.
Tl2OsS | PBE | optimized geometry

Cell: 4.9231 4.9231 4.9231 Å, 60.00 60.00 60.00°
Atoms (fractional coordinates):
Tl (0.2500, 0.2500, 0.2500)
Tl (0.7500, 0.7500, 0.7500)
Os (0.0000, 0.0000, 0.0000)
S (0.5000, 0.5000, 0.5000)

Results
The crystal system is cubic. The calculated density comes out at 12.42 g/cm³. The value obtained for the density of states at the Fermi level is 3.990 states/eV/cell. The total moment comes out at 1.44 μB per cell.

=====

ii.
Tl2OsS | PBE | optimized geometry

Cell: 7.7905 7.7905 7.7905 Å, 133.35 133.35 68.10°
Atoms (fractional coordinates):
Tl (0.1094, 0.6250, 0.9844)
Tl (0.3750, 0.3594, 0.4844)
Tl (0.6406, 0.1250, 0.0156)
Tl (0.8750, 0.8906, 0.5156)
Os (0.0000, 0.0000, 0.0000)
Os (0.7500, 0.2500, 0.5000)
S (0.2500, 0.7500, 0.5000)
S (0.5000, 0.5000, 0.0000)

Results
The crystal system is tetragonal. The calculated density comes out at 8.53 g/cm³. The value obtained for the density of states at the Fermi level is 4.056 states/eV/cell. The total moment comes out at 0.00 μB per cell.

=====

How do the energies compare? Relative to the most stable structure, in meV/atom: i 63; ii 0.

=====

i.
VOsS2 | PBE | optimized geometry

Cell: 7.7362 7.7362 7.7362 Å, 25.17 25.17 25.17°
Atoms (fractional coordinates):
V (0.0000, 0.0000, 0.0000)
Os (0.5000, 0.5000, 0.5000)
S (0.1049, 0.1049, 0.1049)
S (0.8951, 0.8951, 0.8951)

Results
The crystal system is trigonal. The calculated density comes out at 6.88 g/cm³. The value obtained for the density of states at the Fermi level is 3.588 states/eV/cell. The total moment comes out at 2.25 μB per cell.

=====

ii.
VOsS2 | PBE | optimized geometry

Cell: 6.5590 6.5590 6.5590 Å, 133.60 133.60 67.71°
Atoms (fractional coordinates):
V (0.0000, 0.0000, 0.0000)
V (0.7500, 0.2500, 0.5000)
Os (0.2500, 0.7500, 0.5000)
Os (0.5000, 0.5000, 0.0000)
S (0.1298, 0.6250, 0.0048)
S (0.3750, 0.3798, 0.5048)
S (0.6202, 0.1250, 0.9952)
S (0.8750, 0.8702, 0.4952)

Results
The crystal system is tetragonal. The calculated density comes out at 6.97 g/cm³. The value obtained for the density of states at the Fermi level is 3.633 states/eV/cell. The total moment comes out at 3.65 μB per cell.

=====

iii.
VOsS2 | PBE | optimized geometry

Cell: 7.8691 7.8691 7.8691 Å, 21.58 21.58 21.58°
Atoms (fractional coordinates):
V (0.0000, 0.0000, 0.0000)
Os (0.5000, 0.5000, 0.5000)
S (0.4023, 0.4023, 0.4023)
S (0.5977, 0.5977, 0.5977)

Results
The crystal system is trigonal. The calculated density comes out at 8.78 g/cm³. The value obtained for the density of states at the Fermi level is 2.510 states/eV/cell. The total moment comes out at 0.00 μB per cell.

=====

iv.
VOsS2 | PBE | optimized geometry

Cell: 4.1748 4.1748 4.1748 Å, 60.00 60.00 60.00°
Atoms (fractional coordinates):
V (0.0000, 0.0000, 0.0000)
Os (0.5000, 0.5000, 0.5000)
S (0.2500, 0.2500, 0.2500)
S (0.7500, 0.7500, 0.7500)

Results
The crystal system is cubic. The calculated density comes out at 9.85 g/cm³. The value obtained for the density of states at the Fermi level is 2.727 states/eV/cell. The total moment comes out at 0.00 μB per cell.

=====

How do the energies compare? Relative to the most stable structure, in meV/atom: i 593; ii 186; iii 0; iv 375.

=====

i.
Y2Os2S | PBE | optimized geometry

Cell: 7.2842 7.2842 4.3067 Å, 90.00 90.00 90.00°
Atoms (fractional coordinates):
Y (0.1732, 0.3268, 0.0000)
Y (0.3268, 0.8268, 0.0000)
Y (0.6732, 0.1732, 0.0000)
Y (0.8268, 0.6732, 0.0000)
Os (0.1120, 0.6120, 0.5000)
Os (0.3880, 0.1120, 0.5000)
Os (0.6120, 0.8880, 0.5000)
Os (0.8880, 0.3880, 0.5000)
S (0.0000, 0.0000, 0.0000)
S (0.5000, 0.5000, 0.0000)

Results
The crystal system is tetragonal. The calculated density comes out at 8.58 g/cm³. The value obtained for the density of states at the Fermi level is 6.494 states/eV/cell. The total moment comes out at 0.00 μB per cell.

=====

ii.
Y2Os2S | PBE | optimized geometry

Cell: 8.5662 8.5662 8.5662 Å, 155.82 155.82 34.47°
Atoms (fractional coordinates):
Y (0.1036, 0.1036, 0.0000)
Y (0.8964, 0.8964, 0.0000)
Os (0.2500, 0.7500, 0.5000)
Os (0.7500, 0.2500, 0.5000)
S (0.5000, 0.5000, 0.0000)

Results
The crystal system is tetragonal. The calculated density comes out at 9.30 g/cm³. The value obtained for the density of states at the Fermi level is 7.504 states/eV/cell. The total moment comes out at 0.00 μB per cell.

=====

How do the energies compare? Relative to the most stable structure, in meV/atom: i 580; ii 0.

=====

i.
YOs2S2 | PBE | optimized geometry

Cell: 7.4824 7.4824 3.1016 Å, 90.00 90.00 90.00°
Atoms (fractional coordinates):
Y (0.0000, 0.0000, 0.0000)
Y (0.5000, 0.5000, 0.0000)
Os (0.1221, 0.3779, 0.5000)
Os (0.3779, 0.8779, 0.5000)
Os (0.6221, 0.1221, 0.5000)
Os (0.8779, 0.6221, 0.5000)
S (0.2162, 0.7162, 0.0000)
S (0.2838, 0.2162, 0.0000)
S (0.7162, 0.7838, 0.0000)
S (0.7838, 0.2838, 0.0000)

Results
The crystal system is tetragonal. The calculated density comes out at 10.20 g/cm³. The value obtained for the density of states at the Fermi level is 10.121 states/eV/cell. The total moment comes out at 0.00 μB per cell.

=====

ii.
YOs2S2 | PBE | optimized geometry

Cell: 6.0462 6.0462 6.0462 Å, 141.27 141.27 55.94°
Atoms (fractional coordinates):
Y (0.0000, 0.0000, 0.0000)
Os (0.2500, 0.7500, 0.5000)
Os (0.7500, 0.2500, 0.5000)
S (0.3656, 0.3656, 0.0000)
S (0.6344, 0.6344, 0.0000)

Results
The crystal system is tetragonal. The calculated density comes out at 10.32 g/cm³. The value obtained for the density of states at the Fermi level is 3.751 states/eV/cell. The total moment comes out at 0.00 μB per cell.

=====

How do the energies compare? Relative to the most stable structure, in meV/atom: i 382; ii 0.

=====

i.
YOsS3 | PBE | optimized geometry

Cell: 5.1547 5.1547 5.1547 Å, 90.00 90.00 90.00°
Atoms (fractional coordinates):
Y (0.0000, 0.0000, 0.0000)
Os (0.5000, 0.5000, 0.5000)
S (0.0000, 0.0000, 0.5000)
S (0.0000, 0.5000, 0.0000)
S (0.5000, 0.0000, 0.0000)

Results
The crystal system is cubic. The calculated density comes out at 4.55 g/cm³. The value obtained for the density of states at the Fermi level is 9.934 states/eV/cell. The total moment comes out at 4.75 μB per cell.

=====

ii.
YOsS3 | PBE | optimized geometry

Cell: 4.6580 4.6580 4.6580 Å, 90.00 90.00 90.00°
Atoms (fractional coordinates):
Y (0.0000, 0.0000, 0.0000)
Os (0.5000, 0.5000, 0.5000)
S (0.0000, 0.5000, 0.5000)
S (0.5000, 0.0000, 0.5000)
S (0.5000, 0.5000, 0.0000)

Results
The crystal system is cubic. The calculated density comes out at 6.17 g/cm³. The value obtained for the density of states at the Fermi level is 4.491 states/eV/cell. The total moment comes out at 1.39 μB per cell.

=====

How do the energies compare? Relative to the most stable structure, in meV/atom: i 1206; ii 0.